No. 1
# Zn3GePt6

Zn3GePt6 after structural relaxation (PBE-GGA, Alexandria via LeMat-Bulk).

Cell: 8.401 4.018 9.023 Å, 90.00 91.36 90.00°
Positions (direct):
Zn1 0.040 0.250 0.403
Zn2 0.137 0.750 0.191
Zn3 0.246 0.250 0.980
Zn4 0.754 0.750 0.020
Zn5 0.863 0.250 0.809
Zn6 0.960 0.750 0.597
Ge1 0.452 0.250 0.634
Ge2 0.548 0.750 0.366
Pt1 0.046 0.750 0.894
Pt2 0.145 0.250 0.683
Pt3 0.276 0.750 0.486
Pt4 0.317 0.250 0.273
Pt5 0.359 0.750 0.792
Pt6 0.436 0.750 0.091
Pt7 0.564 0.250 0.909
Pt8 0.641 0.250 0.208
Pt9 0.683 0.750 0.727
Pt10 0.724 0.250 0.514
Pt11 0.855 0.750 0.317
Pt12 0.954 0.250 0.106

Calculated values
Total energy (eV/atom): -4.8898
Density of states at the Fermi level (states/eV/cell): 7.3
Energy of formation (kJ/mol of formula units): -406.6
Theoretical density (g/cm3): 15.7

***

No. 2
# Er3Ga4Ni2

Er3Ga4Ni2 after structural relaxation (PBE-GGA, Alexandria via LeMat-Bulk).

Cell: 5.568 5.568 8.203 Å, 106.83 106.83 45.32°
Positions (direct):
Er1 0.000 0.000 0.000
Er2 0.368 0.368 0.315
Er3 0.632 0.632 0.685
Ga1 0.099 0.099 0.412
Ga2 0.278 0.278 0.926
Ga3 0.722 0.722 0.074
Ga4 0.901 0.901 0.588
Ni1 0.336 0.336 0.666
Ni2 0.664 0.664 0.334

Calculated values
Total energy (eV/atom): -4.7706
Density of states at the Fermi level (states/eV/cell): 7.1
Energy of formation (kJ/mol of formula units): -538.0
Theoretical density (g/cm3): 8.7

***

- Which value of density of states at the Fermi level does entry 1 give?
  7.3 states/eV/cell